a:
This record from Alexandria describes a relaxed RbIn3Au2 crystal. The functional is GGA-PBE.

Computed properties:
**Crystal system**: orthorhombic
**M_tot**: 0.00 μB/cell

Unit cell a=12.228 b=9.431 c=5.750 alpha=90.00 beta=90.00 gamma=90.00
Space group Cmcm (No. 63)
Asymmetric unit:
Rb 0.000 0.149 0.250 [4 per cell]
In 0.000 0.439 0.750 [4 per cell]
In 0.188 0.234 0.750 [8 per cell]
Au 0.228 0.500 0.000 [8 per cell]

=====

b:
This record from Alexandria describes a relaxed RbIn3Au2 crystal. The functional is GGA-PBE.

Computed properties:
**Crystal system**: monoclinic
**M_tot**: 0.00 μB/cell

Unit cell a=18.685 b=4.652 c=11.766 alpha=90.00 beta=105.49 gamma=90.00
Space group C2/m (No. 12)
Asymmetric unit:
Rb 0.000 0.000 0.000 [2 per cell]
Rb 0.158 0.000 0.709 [4 per cell]
In 0.000 0.500 0.500 [2 per cell]
In 0.040 0.000 0.351 [4 per cell]
In 0.125 0.500 0.205 [4 per cell]
In 0.173 0.500 0.965 [4 per cell]
In 0.215 0.000 0.384 [4 per cell]
Au 0.031 0.500 0.790 [4 per cell]
Au 0.145 0.500 0.458 [4 per cell]
Au 0.197 0.000 0.126 [4 per cell]

=====

So which one is most stable? That would be b, about 0.029 eV/atom below the next structure.

=====

a:
This record from Alexandria describes a relaxed RbInAu3 crystal. The functional is GGA-PBE.

Computed properties:
**Crystal system**: orthorhombic
**M_tot**: 0.00 μB/cell

Unit cell a=10.298 b=10.984 c=10.125 alpha=90.00 beta=90.00 gamma=90.00
Space group Cmcm (No. 63)
Asymmetric unit:
Rb 0.000 0.039 0.250 [4 per cell]
Rb 0.000 0.372 0.750 [4 per cell]
In 0.250 0.250 0.000 [8 per cell]
Au 0.000 0.327 0.078 [8 per cell]
Au 0.207 0.500 0.000 [8 per cell]
Au 0.217 0.359 0.250 [8 per cell]

=====

b:
This record from Alexandria describes a relaxed RbInAu3 crystal. The functional is GGA-PBE.

Computed properties:
**Crystal system**: cubic
**M_tot**: 0.00 μB/cell

Unit cell a=6.096 b=6.096 c=6.096 alpha=90.00 beta=90.00 gamma=90.00
Space group Pm-3m (No. 221)
Asymmetric unit:
Rb 0.000 0.000 0.000 [1 per cell]
In 0.500 0.500 0.500 [1 per cell]
Au 0.000 0.000 0.500 [3 per cell]

=====

c:
This record from Alexandria describes a relaxed RbInAu3 crystal. The functional is GGA-PBE.

Computed properties:
**Crystal system**: cubic
**M_tot**: 0.00 μB/cell

Unit cell a=5.386 b=5.386 c=5.386 alpha=90.00 beta=90.00 gamma=90.00
Space group Pm-3m (No. 221)
Asymmetric unit:
Rb 0.000 0.000 0.000 [1 per cell]
In 0.500 0.500 0.500 [1 per cell]
Au 0.000 0.500 0.500 [3 per cell]

=====

So which one is most stable? That would be a, about 0.122 eV/atom below the next structure.

=====

a:
This record from Alexandria describes a relaxed RbIn2Au4 crystal. The functional is GGA-PBE.

Computed properties:
**Crystal system**: tetragonal
**M_tot**: 0.00 μB/cell

Unit cell a=9.059 b=9.059 c=8.402 alpha=90.00 beta=90.00 gamma=90.00
Space group I4/mcm (No. 140)
Asymmetric unit:
Rb 0.000 0.000 0.250 [4 per cell]
In 0.141 0.359 0.000 [8 per cell]
Au 0.152 0.348 0.335 [16 per cell]

=====

b:
This record from Alexandria describes a relaxed RbIn2Au4 crystal. The functional is GGA-PBE.

Computed properties:
**Crystal system**: tetragonal
**M_tot**: 0.00 μB/cell

Unit cell a=8.732 b=8.732 c=4.361 alpha=90.00 beta=90.00 gamma=90.00
Space group P4_2/mnm (No. 136)
Asymmetric unit:
Rb 0.000 0.000 0.000 [2 per cell]
In 0.225 0.225 0.500 [4 per cell]
Au 0.079 0.656 0.500 [8 per cell]

=====

So which one is most stable? That would be a, about 0.089 eV/atom below the next structure.

=====

a:
This record from Alexandria describes a relaxed RbIn2Au2 crystal. The functional is GGA-PBE.

Computed properties:
**Crystal system**: tetragonal
**M_tot**: 0.00 μB/cell

Unit cell a=4.893 b=4.893 c=11.715 alpha=90.00 beta=90.00 gamma=90.00
Space group I4/mmm (No. 139)
Asymmetric unit:
Rb 0.000 0.000 0.000 [2 per cell]
In 0.000 0.500 0.250 [4 per cell]
Au 0.000 0.000 0.380 [4 per cell]

=====

b:
This record from Alexandria describes a relaxed RbIn2Au2 crystal. The functional is GGA-PBE.

Computed properties:
**Crystal system**: triclinic
**M_tot**: 0.00 μB/cell

Unit cell a=6.791 b=6.914 c=7.747 alpha=85.78 beta=64.70 gamma=66.25
Space group P-1 (No. 2)
Asymmetric unit:
Rb 0.104 0.257 0.278 [2 per cell]
In 0.254 0.121 0.743 [2 per cell]
In 0.480 0.625 0.197 [2 per cell]
Au 0.211 0.795 0.991 [2 per cell]
Au 0.495 0.700 0.557 [2 per cell]

=====

So which one is most stable? That would be a, about 0.010 eV/atom below the next structure.

=====

a:
This record from Alexandria describes a relaxed RbIn2Au2 crystal. The functional is GGA-PBE.

Computed properties:
**Crystal system**: tetragonal
**M_tot**: 0.00 μB/cell

Unit cell a=5.205 b=5.205 c=10.715 alpha=90.00 beta=90.00 gamma=90.00
Space group I4/mmm (No. 139)
Asymmetric unit:
Rb 0.000 0.000 0.000 [2 per cell]
In 0.000 0.000 0.354 [4 per cell]
Au 0.000 0.500 0.250 [4 per cell]

=====

b:
This record from Alexandria describes a relaxed RbIn2Au2 crystal. The functional is GGA-PBE.

Computed properties:
**Crystal system**: tetragonal
**M_tot**: 0.00 μB/cell

Unit cell a=8.810 b=8.810 c=3.310 alpha=90.00 beta=90.00 gamma=90.00
Space group P4/mbm (No. 127)
Asymmetric unit:
Rb 0.000 0.000 0.000 [2 per cell]
In 0.126 0.374 0.000 [4 per cell]
Au 0.170 0.670 0.500 [4 per cell]

=====

So which one is most stable? That would be a, about 0.122 eV/atom below the next structure.

=====

a:
This record from Alexandria describes a relaxed Rb2In5Au3 crystal. The functional is GGA-PBE.

Computed properties:
**Crystal system**: orthorhombic
**M_tot**: 0.00 μB/cell

Unit cell a=4.954 b=29.723 c=7.676 alpha=90.00 beta=90.00 gamma=90.00
Space group Cmc2_1 (No. 36)
Asymmetric unit:
Rb 0.000 0.018 0.000 [4 per cell]
Rb 0.000 0.319 0.044 [4 per cell]
In 0.000 0.109 0.354 [4 per cell]
In 0.000 0.209 0.849 [4 per cell]
In 0.000 0.210 0.248 [4 per cell]
In 0.000 0.370 0.504 [4 per cell]
In 0.000 0.436 0.168 [4 per cell]
Au 0.000 0.115 0.752 [4 per cell]
Au 0.000 0.273 0.552 [4 per cell]
Au 0.000 0.431 0.797 [4 per cell]

=====

b:
This record from Alexandria describes a relaxed Rb2In5Au3 crystal. The functional is GGA-PBE.

Computed properties:
**Crystal system**: orthorhombic
**M_tot**: 0.00 μB/cell

Unit cell a=11.374 b=14.362 c=7.156 alpha=90.00 beta=90.00 gamma=90.00
Space group Ibam (No. 72)
Asymmetric unit:
Rb 0.238 0.125 0.000 [8 per cell]
In 0.000 0.268 0.250 [8 per cell]
In 0.000 0.500 0.250 [4 per cell]
In 0.122 0.121 0.500 [8 per cell]
Au 0.000 0.000 0.250 [4 per cell]
Au 0.131 0.383 0.000 [8 per cell]

=====

So which one is most stable? That would be b, about 0.037 eV/atom below the next structure.

=====

a:
This record from Alexandria describes a relaxed Rb2In5Au4 crystal. The functional is GGA-PBE.

Computed properties:
**Crystal system**: monoclinic
**M_tot**: 0.00 μB/cell

Unit cell a=11.745 b=8.123 c=8.996 alpha=90.00 beta=125.77 gamma=90.00
Space group C2/m (No. 12)
Asymmetric unit:
Rb 0.077 0.000 0.336 [4 per cell]
In 0.000 0.500 0.500 [2 per cell]
In 0.163 0.302 0.089 [8 per cell]
Au 0.079 0.500 0.264 [4 per cell]
Au 0.219 0.500 0.873 [4 per cell]

=====

b:
This record from Alexandria describes a relaxed Rb2In5Au4 crystal. The functional is GGA-PBE.

Computed properties:
**Crystal system**: orthorhombic
**M_tot**: 0.00 μB/cell

Unit cell a=6.702 b=13.105 c=15.009 alpha=90.00 beta=90.00 gamma=90.00
Space group Fmmm (No. 69)
Asymmetric unit:
Rb 0.000 0.000 0.153 [8 per cell]
In 0.000 0.000 0.500 [4 per cell]
In 0.250 0.250 0.000 [8 per cell]
In 0.250 0.250 0.250 [8 per cell]
Au 0.000 0.147 0.369 [16 per cell]

=====

So which one is most stable? That would be b, about 0.031 eV/atom below the next structure.

=====

a:
This record from Alexandria describes a relaxed RbIn6Au12 crystal. The functional is GGA-PBE.

Computed properties:
**Crystal system**: trigonal
**M_tot**: 0.00 μB/cell

Unit cell a=12.3034 b=12.3034 c=9.8441 alpha=90.00 beta=90.00 gamma=120.00
Space group R-3m (No. 166, hexagonal axes)
Asymmetric unit:
Rb 0.0000 0.0000 0.0000 [3 per cell]
In 0.0605 0.5302 0.2457 [18 per cell]
Au 0.0000 0.3877 0.5000 [18 per cell]
Au 0.0851 0.1702 0.2893 [18 per cell]

=====

b:
This record from Alexandria describes a relaxed RbIn6Au12 crystal. The functional is GGA-PBE.

Computed properties:
**Crystal system**: trigonal
**M_tot**: 0.00 μB/cell

Unit cell a=13.1841 b=13.1841 c=8.3231 alpha=90.00 beta=90.00 gamma=120.00
Space group R-3 (No. 148, hexagonal axes)
Asymmetric unit:
Rb 0.0000 0.0000 0.0000 [3 per cell]
In 0.0262 0.7741 0.7624 [18 per cell]
Au 0.0213 0.8798 0.3610 [18 per cell]
Au 0.0278 0.5607 0.7709 [18 per cell]

=====

So which one is most stable? That would be b, about 0.011 eV/atom below the next structure.